# 1
# MgZr2HPd (PBE, relaxed)
# - VASP energy: -5.7640 eV per atom
# - Calculated volume: 16.16 Å³ per atom
# - Spin magnetization: 0.00 μB/atom
# - Polymorph energy (0 for the lowest one): 0.0 meV/atom
data_MgZr2HPd
_cell_length_a 4.2602
_cell_length_b 4.2602
_cell_length_c 4.4508
_cell_angle_alpha 90.00
_cell_angle_beta 90.00
_cell_angle_gamma 90.00
_symmetry_space_group_name_H-M 'P 4/m m m'
_symmetry_Int_Tables_number 123
_symmetry_space_group_name_Hall '-P 4 2'
loop_
_atom_site_label
_atom_site_type_symbol
_atom_site_fract_x
_atom_site_fract_y
_atom_site_fract_z
Mg1 Mg 0.0000 0.0000 0.0000
Zr1 Zr 0.0000 0.5000 0.5000
H1 H 0.0000 0.0000 0.5000
Pd1 Pd 0.5000 0.5000 0.0000

# 2
# Mg2ZrHPd (PBE, relaxed)
# - VASP energy: -4.3329 eV per atom
# - Calculated volume: 15.61 Å³ per atom
# - Spin magnetization: 0.00 μB/atom
data_Mg2ZrHPd
_cell_length_a 4.3135
_cell_length_b 4.3135
_cell_length_c 4.1951
_cell_angle_alpha 90.00
_cell_angle_beta 90.00
_cell_angle_gamma 90.00
_symmetry_space_group_name_H-M 'P 4/m m m'
_symmetry_Int_Tables_number 123
_symmetry_space_group_name_Hall '-P 4 2'
loop_
_atom_site_label
_atom_site_type_symbol
_atom_site_fract_x
_atom_site_fract_y
_atom_site_fract_z
Mg1 Mg 0.0000 0.5000 0.0000
Zr1 Zr 0.0000 0.0000 0.5000
H1 H 0.0000 0.0000 0.0000
Pd1 Pd 0.5000 0.5000 0.5000

# 3
# MgZr2HPd (PBE, relaxed)
# - VASP energy: -5.7352 eV per atom
# - Calculated volume: 16.29 Å³ per atom
# - Spin magnetization: 0.00 μB/atom
# - Polymorph energy (0 for the lowest one): 28.8 meV/atom
data_MgZr2HPd
_cell_length_a 4.3790
_cell_length_b 4.3790
_cell_length_c 4.2466
_cell_angle_alpha 90.00
_cell_angle_beta 90.00
_cell_angle_gamma 90.00
_symmetry_space_group_name_H-M 'P 4/m m m'
_symmetry_Int_Tables_number 123
_symmetry_space_group_name_Hall '-P 4 2'
loop_
_atom_site_label
_atom_site_type_symbol
_atom_site_fract_x
_atom_site_fract_y
_atom_site_fract_z
Mg1 Mg 0.0000 0.0000 0.0000
Zr1 Zr 0.0000 0.5000 0.5000
H1 H 0.5000 0.5000 0.5000
Pd1 Pd 0.5000 0.5000 0.0000